Record 1
## BaTiTeSe2 (PBE)

Data for a relaxed BaTiTeSe2 crystal.

## Properties
The energy relative to the elements, uncorrected is -1.25 eV per atom. As for the electronic total energy: -5.235 eV per atom.

The structure in CIF format:
```
data_BaTiTeSe2
_cell_length_a 5.045
_cell_length_b 5.045
_cell_length_c 5.613
_cell_angle_alpha 90.00
_cell_angle_beta 90.00
_cell_angle_gamma 90.00
_symmetry_space_group_name_H-M 'P 4/m m m'
_symmetry_Int_Tables_number 123
_symmetry_space_group_name_Hall '-P 4 2'
loop_
_atom_site_label
_atom_site_type_symbol
_atom_site_fract_x
_atom_site_fract_y
_atom_site_fract_z
Ba1 Ba 0.000 0.000 0.000
Ti1 Ti 0.500 0.500 0.500
Te1 Te 0.500 0.500 0.000
Se1 Se 0.000 0.500 0.500
```


Record 2
## ZrCoMo2 (PBE)

Data for a relaxed ZrCoMo2 crystal.

## Properties
The calculation puts the formation energy at 117 meV per atom. As for the electronic total energy: -9.212 eV per atom.

The structure in CIF format:
```
data_ZrCoMo2
_cell_length_a 3.470
_cell_length_b 4.347
_cell_length_c 8.413
_cell_angle_alpha 90.00
_cell_angle_beta 90.00
_cell_angle_gamma 90.00
_symmetry_space_group_name_H-M 'C m m 2'
_symmetry_Int_Tables_number 35
_symmetry_space_group_name_Hall 'C 2 -2'
loop_
_atom_site_label
_atom_site_type_symbol
_atom_site_fract_x
_atom_site_fract_y
_atom_site_fract_z
Zr1 Zr 0.000 0.000 0.000
Co1 Co 0.000 0.500 0.243
Mo1 Mo 0.000 0.000 0.449
Mo2 Mo 0.000 0.500 0.710
```


Record 3
## NbTl2Si (PBE)

Data for a relaxed NbTl2Si crystal.

## Properties
The energy relative to the elements, uncorrected is 0.88 eV per atom. As for the electronic total energy: -4.174 eV per atom.

The structure in CIF format:
```
data_NbTl2Si
_cell_length_a 7.153
_cell_length_b 7.153
_cell_length_c 7.153
_cell_angle_alpha 90.00
_cell_angle_beta 90.00
_cell_angle_gamma 90.00
_symmetry_space_group_name_H-M 'F m -3 m'
_symmetry_Int_Tables_number 225
_symmetry_space_group_name_Hall '-F 4 2 3'
loop_
_atom_site_label
_atom_site_type_symbol
_atom_site_fract_x
_atom_site_fract_y
_atom_site_fract_z
Nb1 Nb 0.000 0.000 0.000
Tl1 Tl 0.250 0.250 0.250
Si1 Si 0.000 0.000 0.500
```


Record 4
## MgSc2P2 (PBE)

Data for a relaxed MgSc2P2 crystal.

## Properties
The calculation puts the formation energy at -463 meV per atom. As for the electronic total energy: -5.479 eV per atom.

The structure in CIF format:
```
data_MgSc2P2
_cell_length_a 3.506
_cell_length_b 3.506
_cell_length_c 16.412
_cell_angle_alpha 90.00
_cell_angle_beta 90.00
_cell_angle_gamma 90.00
_symmetry_space_group_name_H-M 'I 4/m m m'
_symmetry_Int_Tables_number 139
_symmetry_space_group_name_Hall '-I 4 2'
loop_
_atom_site_label
_atom_site_type_symbol
_atom_site_fract_x
_atom_site_fract_y
_atom_site_fract_z
Mg1 Mg 0.000 0.000 0.000
Sc1 Sc 0.000 0.000 0.373
P1 P 0.000 0.500 0.250
```


Record 5
## Pm4AlZn (PBE)

Data for a relaxed Pm4AlZn crystal.

## Properties
The calculation puts the formation energy at 6 meV per atom. As for the electronic total energy: -3.997 eV per atom.

The structure in CIF format:
```
data_Pm4AlZn
_cell_length_a 5.089
_cell_length_b 5.089
_cell_length_c 7.284
_cell_angle_alpha 90.00
_cell_angle_beta 90.00
_cell_angle_gamma 90.00
_symmetry_space_group_name_H-M 'P 4/m m m'
_symmetry_Int_Tables_number 123
_symmetry_space_group_name_Hall '-P 4 2'
loop_
_atom_site_label
_atom_site_type_symbol
_atom_site_fract_x
_atom_site_fract_y
_atom_site_fract_z
Pm1 Pm 0.000 0.500 0.246
Al1 Al 0.000 0.000 0.500
Zn1 Zn 0.500 0.500 0.000
```


Record 6
## Ba2PRhN (PBE)

Data for a relaxed Ba2PRhN crystal.

## Properties
The energy relative to the elements, uncorrected is -0.52 eV per atom. As for the electronic total energy: -5.510 eV per atom.

The structure in CIF format:
```
data_Ba2PRhN
_cell_length_a 5.864
_cell_length_b 5.864
_cell_length_c 3.758
_cell_angle_alpha 90.00
_cell_angle_beta 90.00
_cell_angle_gamma 90.00
_symmetry_space_group_name_H-M 'P 4/m m m'
_symmetry_Int_Tables_number 123
_symmetry_space_group_name_Hall '-P 4 2'
loop_
_atom_site_label
_atom_site_type_symbol
_atom_site_fract_x
_atom_site_fract_y
_atom_site_fract_z
Ba1 Ba 0.000 0.500 0.000
P1 P 0.000 0.000 0.500
Rh1 Rh 0.500 0.500 0.500
N1 N 0.500 0.500 0.000
```


Record 7
## Er2GaP (PBE)

Data for a relaxed Er2GaP crystal.

## Properties
The calculation puts the formation energy at -1108 meV per atom. As for the electronic total energy: -5.499 eV per atom.

The structure in CIF format:
```
data_Er2GaP
_cell_length_a 3.998
_cell_length_b 22.493
_cell_length_c 4.055
_cell_angle_alpha 90.00
_cell_angle_beta 90.00
_cell_angle_gamma 90.00
_symmetry_space_group_name_H-M 'C m c m'
_symmetry_Int_Tables_number 63
_symmetry_space_group_name_Hall '-C 2c 2'
loop_
_atom_site_label
_atom_site_type_symbol
_atom_site_fract_x
_atom_site_fract_y
_atom_site_fract_z
Er1 Er 0.000 0.070 0.250
Er2 Er 0.000 0.312 0.250
Ga1 Ga 0.000 0.463 0.250
P1 P 0.000 0.189 0.250
```


Record 8
## SrPaSe2O8 (PBE)

Data for a relaxed SrPaSe2O8 crystal.

## Properties
The energy relative to the elements, uncorrected is -1.78 eV per atom. As for the electronic total energy: -6.596 eV per atom.

The structure in CIF format:
```
data_SrPaSe2O8
_cell_length_a 6.1679
_cell_length_b 6.1679
_cell_length_c 7.0274
_cell_angle_alpha 90.00
_cell_angle_beta 90.00
_cell_angle_gamma 120.00
_symmetry_space_group_name_H-M 'P -3 m 1'
_symmetry_Int_Tables_number 164
_symmetry_space_group_name_Hall '-P 3 2"'
loop_
_atom_site_label
_atom_site_type_symbol
_atom_site_fract_x
_atom_site_fract_y
_atom_site_fract_z
Sr1 Sr 0.0000 0.0000 0.0000
Pa1 Pa 0.0000 0.0000 0.5000
Se1 Se 0.3333 0.6667 0.2516
O1 O 0.1536 0.3072 0.2988
O2 O 0.3333 0.6667 0.0174
```


Record 9
## CsBaTiF6 (PBE)

Data for a relaxed CsBaTiF6 crystal.

## Properties
The energy relative to the elements, uncorrected is -3.41 eV per atom. As for the electronic total energy: -5.846 eV per atom.

The structure in CIF format:
```
data_CsBaTiF6
_cell_length_a 7.926
_cell_length_b 8.658
_cell_length_c 10.725
_cell_angle_alpha 90.00
_cell_angle_beta 90.00
_cell_angle_gamma 90.00
_symmetry_space_group_name_H-M 'I m m a'
_symmetry_Int_Tables_number 74
_symmetry_space_group_name_Hall '-I 2b 2'
loop_
_atom_site_label
_atom_site_type_symbol
_atom_site_fract_x
_atom_site_fract_y
_atom_site_fract_z
Cs1 Cs 0.000 0.250 0.094
Ba1 Ba 0.000 0.000 0.500
Ti1 Ti 0.250 0.250 0.750
F1 F 0.000 0.250 0.373
F2 F 0.000 0.250 0.701
F3 F 0.219 0.090 0.878
```


Record 10
## PuIn3Hg6 (PBE)

Data for a relaxed PuIn3Hg6 crystal.

## Properties
The calculation puts the formation energy at 53 meV per atom. As for the electronic total energy: -2.383 eV per atom.

The structure in CIF format:
```
data_PuIn3Hg6
_cell_length_a 13.7452
_cell_length_b 13.7452
_cell_length_c 5.2904
_cell_angle_alpha 90.00
_cell_angle_beta 90.00
_cell_angle_gamma 120.00
_symmetry_space_group_name_H-M 'R 3 m'
_symmetry_Int_Tables_number 160
_symmetry_space_group_name_Hall 'R 3 -2"'
loop_
_atom_site_label
_atom_site_type_symbol
_atom_site_fract_x
_atom_site_fract_y
_atom_site_fract_z
Pu1 Pu 0.0000 0.0000 0.0000
In1 In 0.0742 0.5371 0.8274
Hg1 Hg 0.1574 0.0787 0.5034
Hg2 Hg 0.1885 0.3771 0.6584
```


Record 11
## BSCl2O (PBE)

Data for a relaxed BSCl2O crystal.

## Properties
The energy relative to the elements, uncorrected is 1.42 eV per atom. As for the electronic total energy: -2.476 eV per atom.

The structure in CIF format:
```
data_BSCl2O
_cell_length_a 4.671
_cell_length_b 4.671
_cell_length_c 3.981
_cell_angle_alpha 90.00
_cell_angle_beta 90.00
_cell_angle_gamma 90.00
_symmetry_space_group_name_H-M 'P 4/m m m'
_symmetry_Int_Tables_number 123
_symmetry_space_group_name_Hall '-P 4 2'
loop_
_atom_site_label
_atom_site_type_symbol
_atom_site_fract_x
_atom_site_fract_y
_atom_site_fract_z
B1 B 0.000 0.000 0.000
S1 S 0.500 0.500 0.000
Cl1 Cl 0.000 0.500 0.500
O1 O 0.500 0.500 0.500
```


Record 12
## PrMgP (PBE)

Data for a relaxed PrMgP crystal.

## Properties
The calculation puts the formation energy at -678 meV per atom. As for the electronic total energy: -4.606 eV per atom.

The structure in CIF format:
```
data_PrMgP
_cell_length_a 4.9706
_cell_length_b 4.9706
_cell_length_c 25.1888
_cell_angle_alpha 90.00
_cell_angle_beta 90.00
_cell_angle_gamma 120.00
_symmetry_space_group_name_H-M 'R -3 m'
_symmetry_Int_Tables_number 166
_symmetry_space_group_name_Hall '-R 3 2"'
loop_
_atom_site_label
_atom_site_type_symbol
_atom_site_fract_x
_atom_site_fract_y
_atom_site_fract_z
Pr1 Pr 0.0000 0.0000 0.1052
Mg1 Mg 0.0000 0.0000 0.3183
P1 P 0.0000 0.0000 0.2179
```


Look up the electronic total energy of the fifth one. -3.997 eV per atom